Record 1
Entry from Alexandria: a relaxed Na8AsS6 crystal (PBE).

- ΔE_f (raw) (eV per atom) = -0.82
- DOS(E_F) (states/eV per cell) = 6.11
- V (Å³/cell) = 746.0

abc: 7.939 8.245 11.396
angles: 90.00 90.00 90.00
Positions (direct):
Na (0.000, 0.135, 0.000)
Na (0.000, 0.229, 0.450)
Na (0.185, 0.644, 0.114)
Na (0.198, 0.575, 0.805)
Na (0.231, 0.940, 0.762)
Na (0.269, 0.060, 0.262)
Na (0.302, 0.425, 0.305)
Na (0.315, 0.356, 0.614)
Na (0.500, 0.771, 0.950)
Na (0.500, 0.865, 0.500)
Na (0.685, 0.356, 0.614)
Na (0.698, 0.425, 0.305)
Na (0.731, 0.060, 0.262)
Na (0.769, 0.940, 0.762)
Na (0.802, 0.575, 0.805)
Na (0.815, 0.644, 0.114)
As (0.000, 0.736, 0.466)
As (0.500, 0.264, 0.966)
S (0.000, 0.288, 0.220)
S (0.000, 0.496, 0.596)
S (0.000, 0.785, 0.937)
S (0.000, 0.962, 0.581)
S (0.237, 0.746, 0.348)
S (0.263, 0.254, 0.848)
S (0.500, 0.038, 0.081)
S (0.500, 0.215, 0.437)
S (0.500, 0.504, 0.096)
S (0.500, 0.712, 0.720)
S (0.737, 0.254, 0.848)
S (0.763, 0.746, 0.348)

---

Record 2
Entry from Alexandria: a relaxed Na7AsS6 crystal (PBE).

- ΔE_f (raw) (eV per atom) = -0.84
- V (Å³/cell) = 733.7

abc: 10.775 10.775 10.775
angles: 141.35 101.45 91.17
Positions (direct):
Na (0.031, 0.208, 0.239)
Na (0.112, 0.511, 0.840)
Na (0.171, 0.011, 0.399)
Na (0.250, 0.250, 0.000)
Na (0.329, 0.728, 0.840)
Na (0.388, 0.228, 0.399)
Na (0.469, 0.708, 0.177)
Na (0.531, 0.292, 0.823)
Na (0.612, 0.772, 0.601)
Na (0.671, 0.272, 0.160)
Na (0.750, 0.750, 0.000)
Na (0.829, 0.989, 0.601)
Na (0.888, 0.489, 0.160)
Na (0.969, 0.792, 0.761)
As (0.250, 0.750, 0.500)
As (0.750, 0.250, 0.500)
S (0.075, 0.853, 0.587)
S (0.159, 0.905, 0.064)
S (0.234, 0.647, 0.222)
S (0.266, 0.488, 0.413)
S (0.341, 0.405, 0.746)
S (0.425, 0.012, 0.778)
S (0.575, 0.988, 0.222)
S (0.659, 0.595, 0.254)
S (0.734, 0.512, 0.587)
S (0.766, 0.353, 0.778)
S (0.841, 0.095, 0.936)
S (0.925, 0.147, 0.413)

---

Record 3
Entry from Alexandria: a relaxed NaAs3S crystal (PBE).

- ΔE_f (raw) (eV per atom) = 0.44
- DOS(E_F) (states/eV per cell) = 5.44
- energy relative to the lowest polymorph listed for this composition (eV per atom) = 0.0000
- V (Å³/cell) = 119.0

abc: 4.919 4.919 4.919
angles: 90.00 90.00 90.00
Positions (direct):
Na (0.000, 0.000, 0.000)
As (0.000, 0.500, 0.500)
As (0.500, 0.000, 0.500)
As (0.500, 0.500, 0.000)
S (0.500, 0.500, 0.500)

---

Record 4
Entry from Alexandria: a relaxed NaAs2S crystal (PBE).

- ΔE_f (raw) (eV per atom) = 0.06
- DOS(E_F) (states/eV per cell) = 4.28
- V (Å³/cell) = 174.6

abc: 6.342 6.342 6.342
angles: 99.79 99.79 131.30
Positions (direct):
Na (0.000, 0.000, 0.000)
Na (0.750, 0.250, 0.500)
As (0.171, 0.625, 0.046)
As (0.375, 0.421, 0.546)
As (0.579, 0.125, 0.954)
As (0.875, 0.829, 0.454)
S (0.250, 0.750, 0.500)
S (0.500, 0.500, 0.000)

---

- Which of these has the lowest V?
  NaAs3S

---

- The lowest ΔE_f (raw) belongs to which entry?
  Na7AsS6

---

- Number 3 is which compound?
  NaAs3S

---

Repeat the fourth record exactly.
Entry from Alexandria: a relaxed NaAs2S crystal (PBE).

- ΔE_f (raw) (eV per atom) = 0.06
- DOS(E_F) (states/eV per cell) = 4.28
- V (Å³/cell) = 174.6

abc: 6.342 6.342 6.342
angles: 99.79 99.79 131.30
Positions (direct):
Na (0.000, 0.000, 0.000)
Na (0.750, 0.250, 0.500)
As (0.171, 0.625, 0.046)
As (0.375, 0.421, 0.546)
As (0.579, 0.125, 0.954)
As (0.875, 0.829, 0.454)
S (0.250, 0.750, 0.500)
S (0.500, 0.500, 0.000)